{
  "formula": "Co2BrCl",
  "functional": "SCAN",
  "state": "PBEsol geometry",
  "cell": [[3.6691, 0.0000, 0.0000], [0.0000, 3.5654, 0.0000], [-0.2737, 0.0000, 5.7973]],
  "species": ["Co", "Co", "Br", "Cl"],
  "frac_coords": [[0.0000, 0.0000, 0.0000], [0.4147, 0.5000, 0.0171], [0.9345, 0.5000, 0.2894], [0.4811, 0.0000, 0.7641]],
  "energy_ev_per_atom": -15.58,
  "n_ef_per_ev_cell": 1.2
}

---

{
  "formula": "TcHgAs",
  "functional": "SCAN",
  "state": "PBEsol geometry",
  "cell": [[-1.5938, 1.5938, 5.0394], [1.5938, -1.5938, 5.0394], [1.5938, 1.5938, -5.0394]],
  "species": ["Tc", "Hg", "As"],
  "frac_coords": [[0.0000, 0.0000, 0.0000], [0.3073, 0.3073, 0.0000], [0.6053, 0.6053, 0.0000]],
  "energy_ev_per_atom": -40.96,
  "n_ef_per_ev_cell": 1.0
}

---

{
  "formula": "NiAsCl3",
  "functional": "SCAN",
  "state": "PBEsol geometry",
  "cell": [[4.4939, 0.0000, 0.0000], [0.0000, 4.4939, 0.0000], [0.0000, 0.0000, 4.4939]],
  "species": ["Ni", "As", "Cl", "Cl", "Cl"],
  "frac_coords": [[0.0000, 0.0000, 0.0000], [0.5000, 0.5000, 0.5000], [0.0000, 0.0000, 0.5000], [0.0000, 0.5000, 0.0000], [0.5000, 0.0000, 0.0000]],
  "energy_ev_per_atom": -12.01,
  "n_ef_per_ev_cell": 3.5
}

---

{
  "formula": "CoPbS2",
  "functional": "SCAN",
  "state": "PBEsol geometry",
  "cell": [[2.0524, 1.1849, 7.2560], [-2.0524, 1.1849, 7.2560], [0.0000, -2.3699, 7.2560]],
  "species": ["Co", "Pb", "S", "S"],
  "frac_coords": [[0.0000, 0.0000, 0.0000], [0.5000, 0.5000, 0.5000], [0.0955, 0.0955, 0.0955], [0.9045, 0.9045, 0.9045]],
  "energy_ev_per_atom": -28.09,
  "n_ef_per_ev_cell": 3.1
}

---

{
  "formula": "LaFe2Pt",
  "functional": "SCAN",
  "state": "PBEsol geometry",
  "cell": [[3.2904, 0.0000, 0.0000], [0.0000, 3.2904, 0.0000], [0.0000, 0.0000, 6.4866]],
  "species": ["La", "Fe", "Fe", "Pt"],
  "frac_coords": [[0.0000, 0.0000, 0.0000], [0.5000, 0.5000, 0.3273], [0.5000, 0.5000, 0.6727], [0.0000, 0.0000, 0.5000]],
  "energy_ev_per_atom": -37.41,
  "n_ef_per_ev_cell": 3.6
}

---

{
  "formula": "Al5Fe24",
  "functional": "SCAN",
  "state": "PBEsol geometry",
  "cell": [[-4.2829, 4.2829, 4.2829], [4.2829, -4.2829, 4.2829], [4.2829, 4.2829, -4.2829]],
  "species": ["Al", "Al", "Al", "Al", "Al", "Fe", "Fe", "Fe", "Fe", "Fe", "Fe", "Fe", "Fe", "Fe", "Fe", "Fe", "Fe", "Fe", "Fe", "Fe", "Fe", "Fe", "Fe", "Fe", "Fe", "Fe", "Fe", "Fe", "Fe"],
  "frac_coords": [[0.0000, 0.0000, 0.0000], [0.0000, 0.0000, 0.6278], [0.0000, 0.6278, 0.0000], [0.3722, 0.3722, 0.3722], [0.6278, 0.0000, 0.0000], [0.0000, 0.1898, 0.3687], [0.0000, 0.3687, 0.1898], [0.0000, 0.3863, 0.6738], [0.0000, 0.6738, 0.3863], [0.1789, 0.8102, 0.8102], [0.1898, 0.0000, 0.3687], [0.1898, 0.3687, 0.0000], [0.2875, 0.6137, 0.6137], [0.3262, 0.3262, 0.7125], [0.3262, 0.7125, 0.3262], [0.3687, 0.0000, 0.1898], [0.3687, 0.1898, 0.0000], [0.3863, 0.0000, 0.6738], [0.3863, 0.6738, 0.0000], [0.6137, 0.2875, 0.6137], [0.6137, 0.6137, 0.2875], [0.6313, 0.6313, 0.8211], [0.6313, 0.8211, 0.6313], [0.6738, 0.0000, 0.3863], [0.6738, 0.3863, 0.0000], [0.7125, 0.3262, 0.3262], [0.8102, 0.1789, 0.8102], [0.8102, 0.8102, 0.1789], [0.8211, 0.6313, 0.6313]],
  "energy_ev_per_atom": -16.32,
  "n_ef_per_ev_cell": 20.1
}

---

{
  "formula": "KYPO2",
  "functional": "SCAN",
  "state": "PBEsol geometry",
  "cell": [[4.3565, 0.0000, 0.0000], [0.0000, 4.3565, 0.0000], [0.0000, 0.0000, 4.8354]],
  "species": ["K", "Y", "P", "O", "O"],
  "frac_coords": [[0.0000, 0.0000, 0.0000], [0.5000, 0.5000, 0.5000], [0.0000, 0.0000, 0.5000], [0.0000, 0.5000, 0.0000], [0.5000, 0.0000, 0.0000]],
  "energy_ev_per_atom": -11.82,
  "n_ef_per_ev_cell": 1.9
}

---

{
  "formula": "SrSmGa3O7",
  "functional": "SCAN",
  "state": "PBEsol geometry",
  "cell": [[5.5815, -5.6621, 0.0000], [5.5815, 5.6621, 0.0000], [0.0000, 0.0000, 5.2600]],
  "species": ["Sr", "Sr", "Sm", "Sm", "Ga", "Ga", "Ga", "Ga", "Ga", "Ga", "O", "O", "O", "O", "O", "O", "O", "O", "O", "O", "O", "O", "O", "O"],
  "frac_coords": [[0.1616, 0.8384, 0.0000], [0.8384, 0.1616, 0.0000], [0.3399, 0.3399, 0.0232], [0.6601, 0.6601, 0.0232], [0.0000, 0.5000, 0.5055], [0.1484, 0.1484, 0.4754], [0.3589, 0.6411, 0.5430], [0.5000, 0.0000, 0.5055], [0.6411, 0.3589, 0.5430], [0.8516, 0.8516, 0.4754], [0.0000, 0.0000, 0.3295], [0.0985, 0.3441, 0.2937], [0.1546, 0.1546, 0.8164], [0.1652, 0.5806, 0.7169], [0.3441, 0.0985, 0.2937], [0.3731, 0.6269, 0.2003], [0.4194, 0.8348, 0.7169], [0.5000, 0.5000, 0.7229], [0.5806, 0.1652, 0.7169], [0.6269, 0.3731, 0.2003], [0.6559, 0.9015, 0.2937], [0.8348, 0.4194, 0.7169], [0.8454, 0.8454, 0.8164], [0.9015, 0.6559, 0.2937]],
  "energy_ev_per_atom": -15.95,
  "n_ef_per_ev_cell": 0.0
}

---

{
  "formula": "BaSrHg2",
  "functional": "SCAN",
  "state": "PBEsol geometry",
  "cell": [[4.0038, 0.0000, 0.0000], [0.0000, 4.0038, 0.0000], [0.0000, 0.0000, 8.0185]],
  "species": ["Ba", "Sr", "Hg", "Hg"],
  "frac_coords": [[0.0000, 0.0000, 0.0000], [0.0000, 0.0000, 0.5000], [0.5000, 0.5000, 0.2664], [0.5000, 0.5000, 0.7336]],
  "energy_ev_per_atom": -50.22,
  "n_ef_per_ev_cell": 2.4
}

---

{
  "formula": "ReAg3Br",
  "functional": "SCAN",
  "state": "PBEsol geometry",
  "cell": [[4.9360, 0.0000, 0.0000], [0.0000, 4.9360, 0.0000], [0.0000, 0.0000, 4.9360]],
  "species": ["Re", "Ag", "Ag", "Ag", "Br"],
  "frac_coords": [[0.0000, 0.0000, 0.0000], [0.0000, 0.5000, 0.5000], [0.5000, 0.0000, 0.5000], [0.5000, 0.5000, 0.0000], [0.5000, 0.5000, 0.5000]],
  "de_polymorph_ev_per_atom": 0.293,
  "n_ef_per_ev_cell": 2.4
}

---

{
  "formula": "BaTl2Ag",
  "functional": "SCAN",
  "state": "PBEsol geometry",
  "cell": [[0.0000, 3.8030, 3.8030], [3.8030, 0.0000, 3.8030], [3.8030, 3.8030, 0.0000]],
  "species": ["Ba", "Tl", "Tl", "Ag"],
  "frac_coords": [[0.0000, 0.0000, 0.0000], [0.2500, 0.2500, 0.2500], [0.7500, 0.7500, 0.7500], [0.5000, 0.5000, 0.5000]],
  "de_polymorph_ev_per_atom": 0.135,
  "n_ef_per_ev_cell": 1.9
}

---

{
  "formula": "CoRuCl2",
  "functional": "SCAN",
  "state": "PBEsol geometry",
  "cell": [[1.4827, 0.8560, 7.2334], [-1.4827, 0.8560, 7.2334], [0.0000, -1.7121, 7.2334]],
  "species": ["Co", "Ru", "Cl", "Cl"],
  "frac_coords": [[0.0000, 0.0000, 0.0000], [0.5000, 0.5000, 0.5000], [0.2576, 0.2576, 0.2576], [0.7424, 0.7424, 0.7424]],
  "de_polymorph_ev_per_atom": 0.000,
  "n_ef_per_ev_cell": 1.8
}

---

{
  "formula": "LiCaCl",
  "functional": "SCAN",
  "state": "PBEsol geometry",
  "cell": [[3.7373, 0.0000, 0.0000], [-1.8686, 3.2366, 0.0000], [0.0000, 0.0000, 6.2142]],
  "species": ["Li", "Ca", "Cl"],
  "frac_coords": [[0.0000, 0.0000, 0.0000], [0.3333, 0.6667, 0.5655], [0.6667, 0.3333, 0.2470]],
  "de_polymorph_ev_per_atom": 0.000,
  "n_ef_per_ev_cell": 0.6
}

---

{
  "formula": "LaCd2Ag2",
  "functional": "SCAN",
  "state": "PBEsol geometry",
  "cell": [[-2.1050, 2.1050, 6.4387], [2.1050, -2.1050, 6.4387], [2.1050, 2.1050, -6.4387]],
  "species": ["La", "Cd", "Cd", "Ag", "Ag"],
  "frac_coords": [[0.0000, 0.0000, 0.0000], [0.2500, 0.7500, 0.5000], [0.7500, 0.2500, 0.5000], [0.3963, 0.3963, 0.0000], [0.6037, 0.6037, 0.0000]],
  "energy_ev_per_atom": -33.62,
  "n_ef_per_ev_cell": 3.0
}

---

{
  "formula": "NdNi2Sb2",
  "functional": "SCAN",
  "state": "PBEsol geometry",
  "cell": [[4.4273, 0.0000, 0.0000], [0.0000, 4.4273, 0.0000], [0.0000, 0.0000, 9.8151]],
  "species": ["Nd", "Nd", "Ni", "Ni", "Ni", "Ni", "Sb", "Sb", "Sb", "Sb"],
  "frac_coords": [[0.2500, 0.2500, 0.2393], [0.7500, 0.7500, 0.7607], [0.2500, 0.2500, 0.6233], [0.2500, 0.7500, 0.0000], [0.7500, 0.2500, 0.0000], [0.7500, 0.7500, 0.3767], [0.2500, 0.2500, 0.8749], [0.2500, 0.7500, 0.5000], [0.7500, 0.2500, 0.5000], [0.7500, 0.7500, 0.1251]],
  "energy_ev_per_atom": -30.80,
  "n_ef_per_ev_cell": 4.0
}

---

{
  "formula": "Ag2TeP",
  "functional": "SCAN",
  "state": "PBEsol geometry",
  "cell": [[-2.0825, 2.0825, 4.4241], [2.0825, -2.0825, 4.4241], [2.0825, 2.0825, -4.4241]],
  "species": ["Ag", "Ag", "Te", "P"],
  "frac_coords": [[0.0000, 0.0000, 0.0000], [0.7500, 0.2500, 0.5000], [0.2500, 0.7500, 0.5000], [0.5000, 0.5000, 0.0000]],
  "de_polymorph_ev_per_atom": 0.056,
  "n_ef_per_ev_cell": 1.5
}

---

{
  "formula": "Ho2Ge2Os",
  "functional": "SCAN",
  "state": "PBEsol geometry",
  "cell": [[5.3129, -2.1187, 0.0000], [5.3129, 2.1187, 0.0000], [-4.7013, 0.0000, 8.7846]],
  "species": ["Ho", "Ho", "Ho", "Ho", "Ge", "Ge", "Ge", "Ge", "Os", "Os"],
  "frac_coords": [[0.0047, 0.0047, 0.1756], [0.1837, 0.1837, 0.6146], [0.8163, 0.8163, 0.3854], [0.9953, 0.9953, 0.8244], [0.3587, 0.3587, 0.9379], [0.4873, 0.4873, 0.6243], [0.5127, 0.5127, 0.3757], [0.6413, 0.6413, 0.0621], [0.2707, 0.2707, 0.1314], [0.7293, 0.7293, 0.8686]],
  "energy_ev_per_atom": -42.43,
  "n_ef_per_ev_cell": 3.9
}

---

{
  "formula": "LiSbPb2",
  "functional": "SCAN",
  "state": "PBEsol geometry",
  "cell": [[4.0857, 0.0000, 0.0000], [0.0000, 4.0857, 0.0000], [0.0000, 0.0000, 6.4098]],
  "species": ["Li", "Sb", "Pb", "Pb"],
  "frac_coords": [[0.0000, 0.0000, 0.0000], [0.0000, 0.0000, 0.5000], [0.5000, 0.5000, 0.2523], [0.5000, 0.5000, 0.7477]],
  "energy_ev_per_atom": -47.90,
  "n_ef_per_ev_cell": 2.2
}

---

{
  "formula": "LaSi2Pt",
  "functional": "SCAN",
  "state": "PBEsol geometry",
  "cell": [[2.0498, 1.1834, 5.2858], [-2.0498, 1.1834, 5.2858], [0.0000, -2.3669, 5.2858]],
  "species": ["La", "Si", "Si", "Pt"],
  "frac_coords": [[0.0000, 0.0000, 0.0000], [0.2128, 0.2128, 0.2128], [0.7872, 0.7872, 0.7872], [0.5000, 0.5000, 0.5000]],
  "energy_ev_per_atom": -34.43,
  "n_ef_per_ev_cell": 1.4
}

---

{
  "formula": "Ba3NbW",
  "functional": "SCAN",
  "state": "PBEsol geometry",
  "cell": [[5.8547, 0.0000, 0.0000], [0.0000, 5.8547, 0.0000], [0.0000, 0.0000, 5.8547]],
  "species": ["Ba", "Ba", "Ba", "Nb", "W"],
  "frac_coords": [[0.0000, 0.0000, 0.5000], [0.0000, 0.5000, 0.0000], [0.5000, 0.0000, 0.0000], [0.5000, 0.5000, 0.5000], [0.0000, 0.0000, 0.0000]],
  "energy_ev_per_atom": -42.65,
  "n_ef_per_ev_cell": 4.7
}

---

{
  "formula": "Sr3Co2Cl2O4",
  "functional": "SCAN",
  "state": "PBEsol geometry",
  "cell": [[-1.9189, 1.9189, 11.5116], [1.9189, -1.9189, 11.5116], [1.9189, 1.9189, -11.5116]],
  "species": ["Sr", "Sr", "Sr", "Co", "Co", "Cl", "Cl", "O", "O", "O", "O"],
  "frac_coords": [[0.0000, 0.0000, 0.0000], [0.1506, 0.1506, 0.0000], [0.8494, 0.8494, 0.0000], [0.4280, 0.4280, 0.0000], [0.5720, 0.5720, 0.0000], [0.2959, 0.2959, 0.0000], [0.7041, 0.7041, 0.0000], [0.0762, 0.5762, 0.5000], [0.4238, 0.9238, 0.5000], [0.5762, 0.0762, 0.5000], [0.9238, 0.4238, 0.5000]],
  "energy_ev_per_atom": -15.17,
  "n_ef_per_ev_cell": 3.6
}

---

{
  "formula": "TcSnOsF2",
  "functional": "SCAN",
  "state": "PBEsol geometry",
  "cell": [[3.8498, 0.0000, 0.0000], [0.0000, 3.8498, 0.0000], [0.0000, 0.0000, 5.7177]],
  "species": ["Tc", "Sn", "Os", "F", "F"],
  "frac_coords": [[0.0000, 0.0000, 0.0000], [0.0000, 0.0000, 0.5000], [0.5000, 0.5000, 0.0000], [0.0000, 0.5000, 0.5000], [0.5000, 0.0000, 0.5000]],
  "energy_ev_per_atom": -29.74,
  "n_ef_per_ev_cell": 2.1
}

---

{
  "formula": "SbP2SCl",
  "functional": "SCAN",
  "state": "PBEsol geometry",
  "cell": [[5.0748, 0.0000, 0.0000], [0.0000, 5.0748, 0.0000], [0.0000, 0.0000, 4.8725]],
  "species": ["Sb", "P", "P", "S", "Cl"],
  "frac_coords": [[0.0000, 0.0000, 0.0000], [0.0000, 0.5000, 0.0000], [0.5000, 0.0000, 0.0000], [0.5000, 0.5000, 0.5000], [0.0000, 0.0000, 0.5000]],
  "energy_ev_per_atom": -13.99,
  "n_ef_per_ev_cell": 3.4
}

---

{
  "formula": "CaNi3",
  "functional": "SCAN",
  "state": "PBEsol geometry",
  "cell": [[1.9875, 1.1475, 4.7156], [-1.9875, 1.1475, 4.7156], [0.0000, -2.2950, 4.7156]],
  "species": ["Ca", "Ni", "Ni", "Ni"],
  "frac_coords": [[0.0000, 0.0000, 0.0000], [0.1892, 0.1892, 0.1892], [0.5000, 0.5000, 0.5000], [0.8108, 0.8108, 0.8108]],
  "energy_ev_per_atom": -14.59,
  "n_ef_per_ev_cell": 3.7
}

---

{
  "formula": "SrMgCo2",
  "functional": "SCAN",
  "state": "PBEsol geometry",
  "cell": [[4.5322, 0.0000, 0.0000], [0.0000, 4.5322, 0.0000], [0.0000, 0.0000, 3.3896]],
  "species": ["Sr", "Mg", "Co", "Co"],
  "frac_coords": [[0.0000, 0.0000, 0.0000], [0.5000, 0.5000, 0.0000], [0.0000, 0.5000, 0.5000], [0.5000, 0.0000, 0.5000]],
  "de_polymorph_ev_per_atom": 0.347,
  "n_ef_per_ev_cell": 2.7
}

---

{
  "formula": "BeIn3Co",
  "functional": "SCAN",
  "state": "PBEsol geometry",
  "cell": [[4.6887, 0.0000, 0.0000], [0.0000, 4.6887, 0.0000], [0.0000, 0.0000, 4.6887]],
  "species": ["Be", "In", "In", "In", "Co"],
  "frac_coords": [[0.0000, 0.0000, 0.0000], [0.0000, 0.0000, 0.5000], [0.0000, 0.5000, 0.0000], [0.5000, 0.0000, 0.0000], [0.5000, 0.5000, 0.5000]],
  "energy_ev_per_atom": -23.55,
  "n_ef_per_ev_cell": 2.9
}